Entry 1:
Compound: BeS
Source: the Alexandria database
Functional: PBE-GGA
Structure: optimized geometry

Properties
Total moment, μB/f.u.: 0.00
Uncorrected formation energy, meV per atom: -962
V, A^3/atom: 15.63
E, eV per formula unit: -9.78
Offset from the most stable computed form, meV/atom: 106

Lattice parameters (Å, degrees): 3.4390 10.5890 5.1515 90.00 90.00 90.00
Closest atoms and distances in Å follow each position.
Element x y z (fractional)
Be  0.2500  0.1002  0.0666  4 S 2.10-2.15
Be  0.2500  0.3998  0.0666  4 S 2.10-2.15
Be  0.2500  0.7500  0.4342  4 S 2.09-2.12
Be  0.7500  0.2500  0.5658  4 S 2.09-2.12
Be  0.7500  0.6002  0.9334  4 S 2.10-2.15
Be  0.7500  0.8998  0.9334  4 S 2.10-2.15
S  0.2500  0.2500  0.3339  4 Be 2.09-2.10
S  0.2500  0.5964  0.1701  4 Be 2.11-2.15
S  0.2500  0.9036  0.1701  4 Be 2.11-2.15
S  0.7500  0.0964  0.8299  4 Be 2.11-2.15
S  0.7500  0.4036  0.8299  4 Be 2.11-2.15
S  0.7500  0.7500  0.6661  4 Be 2.09-2.10

***

Entry 2:
Compound: Pr4GaI2Cl
Source: the Alexandria database
Functional: PBE-GGA
Structure: optimized geometry

Properties
Total moment, μB/f.u.: 0.00
Uncorrected formation energy, meV per atom: -985
V, A^3/atom: 30.92
E, eV per formula unit: -34.97

Lattice parameters (Å, degrees): 7.1751 4.3767 8.3091 90.00 108.54 90.00
Closest atoms and distances in Å follow each position.
Element x y z (fractional)
Pr  0.2274  0.0000  0.1955  2 Cl 2.90, 1 Ga 2.91
Pr  0.2618  0.5000  0.7984  1 Cl 2.89, 2 Ga 2.95
Pr  0.7382  0.5000  0.2016  1 Cl 2.89, 2 Ga 2.95
Pr  0.7726  0.0000  0.8045  2 Cl 2.90, 1 Ga 2.91
Ga  0.5000  0.0000  0.0000  6 Pr 2.91-2.95
I  0.0000  0.0000  0.5000  6 Pr 3.39-3.42
I  0.5000  0.5000  0.5000  6 Pr 3.43-3.44
Cl  0.0000  0.5000  0.0000  6 Pr 2.89-2.90

***

Entry 3:
Compound: OsSeS2
Source: the Alexandria database
Functional: PBE-GGA
Structure: optimized geometry

Properties
Total moment, μB/f.u.: 0.00
Uncorrected formation energy, meV per atom: 25
V, A^3/atom: 18.99
E, eV per formula unit: -22.87

Lattice parameters (Å, degrees): 3.7065 5.6904 7.2670 95.27 91.37 95.22
Closest atoms and distances in Å follow each position.
Element x y z (fractional)
Os  0.2020  0.2178  0.4980  6 S 2.31-2.51
Os  0.7980  0.7822  0.5020  6 S 2.31-2.51
Se  0.0000  0.0000  0.0000  2 S 2.53
Se  0.0000  0.5000  0.0000  2 S 2.62, 2 Se 2.85
S  0.2411  0.5762  0.3445  3 Os 2.36-2.48, 1 Se 2.62
S  0.2940  0.9289  0.6921  3 Os 2.31-2.51, 1 Se 2.53
S  0.7060  0.0711  0.3079  3 Os 2.31-2.51, 1 Se 2.53
S  0.7589  0.4238  0.6555  3 Os 2.36-2.48, 1 Se 2.62

***

Entry 4:
Compound: Ag2PtAu
Source: the Alexandria database
Functional: PBE-GGA
Structure: optimized geometry

Properties
Total moment, μB/f.u.: 0.00
ΔH_f (0 K), eV/f.u.: 0.037
V, A^3/atom: 17.20
E, eV per formula unit: -14.98
Offset from the most stable computed form, meV/atom: 29

Lattice parameters (Å, degrees): 2.8582 2.8582 8.4239 90.00 90.00 90.00
Closest atoms and distances in Å follow each position.
Element x y z (fractional)
Ag  0.0000  0.0000  0.0000  8 Ag 2.86-2.95, 4 Pt 2.88
Ag  0.5000  0.5000  0.2552  8 Ag 2.86-2.95, 4 Au 2.95
Pt  0.5000  0.5000  0.7566  4 Pt 2.86, 4 Ag 2.88, 4 Au 2.89
Au  0.0000  0.0000  0.5107  4 Au 2.86, 4 Pt 2.89, 4 Ag 2.95

***

Entry 5:
Compound: Ac2TmSb2Te2
Source: the Alexandria database
Functional: PBE-GGA
Structure: optimized geometry

Properties
Total moment, μB/f.u.: 0.00
Uncorrected formation energy, meV per atom: -980
V, A^3/atom: 38.07
E, eV per formula unit: -34.07

Lattice parameters (Å, degrees): 9.2618 9.2618 9.2618 144.50 144.50 51.08
Closest atoms and distances in Å follow each position.
Element x y z (fractional)
Ac  0.1257  0.1257  0.0000  1 Te 3.22, 4 Sb 3.52
Ac  0.8743  0.8743  0.0000  1 Te 3.22, 4 Sb 3.52
Tm  0.5000  0.5000  0.0000  4 Sb 2.82, 2 Te 3.04
Sb  0.0000  0.5000  0.5000  2 Tm 2.82
Sb  0.5000  0.0000  0.5000  2 Tm 2.82
Te  0.3182  0.3182  0.0000  1 Tm 3.04, 1 Ac 3.22
Te  0.6818  0.6818  0.0000  1 Tm 3.04, 1 Ac 3.22

***

Entry 6:
Compound: Pr6In2N
Source: the Alexandria database
Functional: PBE-GGA
Structure: optimized geometry

Properties
Total moment, μB/f.u.: 0.00
Uncorrected formation energy, meV per atom: -331
V, A^3/atom: 29.00
E, eV per formula unit: -45.45
Offset from the most stable computed form, meV/atom: 207

Lattice parameters (Å, degrees): 3.6319 8.9901 8.9901 117.23 90.00 90.00
Closest atoms and distances in Å follow each position.
Element x y z (fractional)
Pr  0.0000  0.0000  0.0000  2 N 2.45
Pr  0.0000  0.5590  0.7663  2 N 2.85, 1 Pr 3.18
Pr  0.0000  0.7663  0.5590  2 N 2.85, 1 Pr 3.18
Pr  0.5000  0.1596  0.7495  4 In 3.29-3.33, 1 N 3.37, 6 Pr 3.63-3.66
Pr  0.5000  0.3533  0.3533  4 In 3.33, 2 Pr 3.63
Pr  0.5000  0.7495  0.1596  4 In 3.29-3.33, 1 N 3.37, 6 Pr 3.63-3.66
In  0.0000  0.0770  0.4157  8 Pr 3.29-3.57, 2 In 3.63
In  0.0000  0.4157  0.0770  8 Pr 3.29-3.57, 2 In 3.63
N  0.5000  0.8245  0.8245  2 Pr 2.45

***

Entry 7:
Compound: Cr5In3I12
Source: the Alexandria database
Functional: PBE-GGA
Structure: optimized geometry

Properties
Total moment, μB/f.u.: 21.00
Uncorrected formation energy, meV per atom: -251
V, A^3/atom: 38.08
E, eV per formula unit: -79.95

Lattice parameters (Å, degrees): 15.8170 15.8170 15.8170 109.47 109.47 109.47
Closest atoms and distances in Å follow each position.
Element x y z (fractional)
Cr  0.0000  0.0000  0.0000  6 I 2.87
Cr  0.0000  0.0000  0.5000  6 I 2.87
Cr  0.0000  0.5000  0.0000  6 I 2.87
Cr  0.0000  0.5000  0.5000  6 I 2.87
Cr  0.1250  0.7500  0.8750  4 I 2.73
Cr  0.1250  0.8750  0.2500  4 I 2.73
Cr  0.2500  0.1250  0.8750  4 I 2.73
Cr  0.2500  0.6250  0.3750  4 I 2.73
Cr  0.3750  0.2500  0.6250  4 I 2.73
Cr  0.3750  0.6250  0.7500  4 I 2.73
Cr  0.5000  0.0000  0.0000  6 I 2.87
Cr  0.5000  0.0000  0.5000  6 I 2.87
Cr  0.5000  0.5000  0.0000  6 I 2.87
Cr  0.5000  0.5000  0.5000  6 I 2.87
Cr  0.6250  0.3750  0.2500  4 I 2.73
Cr  0.6250  0.7500  0.3750  4 I 2.73
Cr  0.7500  0.3750  0.6250  4 I 2.73
Cr  0.7500  0.8750  0.1250  4 I 2.73
Cr  0.8750  0.1250  0.7500  4 I 2.73
Cr  0.8750  0.2500  0.1250  4 I 2.73
In  0.1250  0.2500  0.3750  8 I 3.57-3.70
In  0.1250  0.3750  0.7500  8 I 3.57-3.70
In  0.2500  0.3750  0.1250  8 I 3.57-3.70
In  0.2500  0.8750  0.6250  8 I 3.57-3.70
In  0.3750  0.1250  0.2500  8 I 3.57-3.70
In  0.3750  0.7500  0.1250  8 I 3.57-3.70
In  0.6250  0.2500  0.8750  8 I 3.57-3.70
In  0.6250  0.8750  0.7500  8 I 3.57-3.70
In  0.7500  0.1250  0.3750  8 I 3.57-3.70
In  0.7500  0.6250  0.8750  8 I 3.57-3.70
In  0.8750  0.6250  0.2500  8 I 3.57-3.70
In  0.8750  0.7500  0.6250  8 I 3.57-3.70
I  0.0194  0.1961  0.1134  2 Cr 2.73-2.87
I  0.0194  0.3233  0.9059  2 Cr 2.73-2.87
I  0.0826  0.6961  0.6767  2 Cr 2.73-2.87
I  0.0826  0.8866  0.4059  2 Cr 2.73-2.87
I  0.0941  0.6134  0.4174  2 Cr 2.73-2.87
I  0.0941  0.9806  0.6767  2 Cr 2.73-2.87
I  0.1134  0.0194  0.1961  2 Cr 2.73-2.87
I  0.1134  0.5941  0.9174  2 Cr 2.73-2.87
I  0.1767  0.1961  0.5826  2 Cr 2.73-2.87
I  0.1767  0.4806  0.5941  2 Cr 2.73-2.87
I  0.1961  0.1134  0.0194  2 Cr 2.73-2.87
I  0.1961  0.5826  0.1767  2 Cr 2.73-2.87
I  0.3039  0.3233  0.9174  2 Cr 2.73-2.87
I  0.3039  0.4806  0.3866  2 Cr 2.73-2.87
I  0.3233  0.9059  0.0194  2 Cr 2.73-2.87
I  0.3233  0.9174  0.3039  2 Cr 2.73-2.87
I  0.3866  0.3039  0.4806  2 Cr 2.73-2.87
I  0.3866  0.5826  0.9059  2 Cr 2.73-2.87
I  0.4059  0.0826  0.8866  2 Cr 2.73-2.87
I  0.4059  0.8233  0.5194  2 Cr 2.73-2.87
I  0.4174  0.0941  0.6134  2 Cr 2.73-2.87
I  0.4174  0.8233  0.8039  2 Cr 2.73-2.87
I  0.4806  0.3866  0.3039  2 Cr 2.73-2.87
I  0.4806  0.5941  0.1767  2 Cr 2.73-2.87
I  0.5194  0.4059  0.8233  2 Cr 2.73-2.87
I  0.5194  0.6134  0.6961  2 Cr 2.73-2.87
I  0.5826  0.1767  0.1961  2 Cr 2.73-2.87
I  0.5826  0.9059  0.3866  2 Cr 2.73-2.87
I  0.5941  0.1767  0.4806  2 Cr 2.73-2.87
I  0.5941  0.9174  0.1134  2 Cr 2.73-2.87
I  0.6134  0.4174  0.0941  2 Cr 2.73-2.87
I  0.6134  0.6961  0.5194  2 Cr 2.73-2.87
I  0.6767  0.0826  0.6961  2 Cr 2.73-2.87
I  0.6767  0.0941  0.9806  2 Cr 2.73-2.87
I  0.6961  0.5194  0.6134  2 Cr 2.73-2.87
I  0.6961  0.6767  0.0826  2 Cr 2.73-2.87
I  0.8039  0.4174  0.8233  2 Cr 2.73-2.87
I  0.8039  0.8866  0.9806  2 Cr 2.73-2.87
I  0.8233  0.5194  0.4059  2 Cr 2.73-2.87
I  0.8233  0.8039  0.4174  2 Cr 2.73-2.87
I  0.8866  0.4059  0.0826  2 Cr 2.73-2.87
I  0.8866  0.9806  0.8039  2 Cr 2.73-2.87
I  0.9059  0.0194  0.3233  2 Cr 2.73-2.87
I  0.9059  0.3866  0.5826  2 Cr 2.73-2.87
I  0.9174  0.1134  0.5941  2 Cr 2.73-2.87
I  0.9174  0.3039  0.3233  2 Cr 2.73-2.87
I  0.9806  0.6767  0.0941  2 Cr 2.73-2.87
I  0.9806  0.8039  0.8866  2 Cr 2.73-2.87

***

Entry 8:
Compound: BaTlMo
Source: the Alexandria database
Functional: PBE-GGA
Structure: optimized geometry

Properties
Total moment, μB/f.u.: 3.03
ΔH_f (0 K), eV/f.u.: 2.873
V, A^3/atom: 33.41
E, eV per formula unit: -12.25
Offset from the most stable computed form, meV/atom: 208

Lattice parameters (Å, degrees): 5.2139 5.2139 5.2139 60.00 60.00 60.00
Closest atoms and distances in Å follow each position.
Element x y z (fractional)
Ba  0.0000  0.0000  0.0000  4 Mo 3.19
Tl  0.5000  0.5000  0.5000  4 Mo 3.19
Mo  0.7500  0.7500  0.7500  4 Ba 3.19, 4 Tl 3.19

***

Entry 9:
Compound: BaP3Pd6
Source: the Alexandria database
Functional: PBE-GGA
Structure: optimized geometry

Properties
Total moment, μB/f.u.: 0.00
ΔH_f (0 K), eV/f.u.: -5.371
V, A^3/atom: 18.74
E, eV per formula unit: -54.68

Lattice parameters (Å, degrees): 6.3960 6.3960 6.3960 60.57 60.57 60.57
Closest atoms and distances in Å follow each position.
Element x y z (fractional)
Ba  0.0000  0.0000  0.0000  1 P 3.03, 6 Pd 3.35
P  0.1944  0.1944  0.1944  3 Pd 2.41, 1 P 2.49
P  0.3542  0.3542  0.3542  6 Pd 2.37-2.38, 1 P 2.49
P  0.7225  0.7225  0.7225  6 Pd 2.31-2.43
Pd  0.1557  0.6122  0.6122  2 P 2.31-2.37
Pd  0.4593  0.4593  0.9101  3 P 2.38-2.43
Pd  0.4593  0.9101  0.4593  3 P 2.38-2.43
Pd  0.6122  0.1557  0.6122  2 P 2.31-2.37
Pd  0.6122  0.6122  0.1557  2 P 2.31-2.37
Pd  0.9101  0.4593  0.4593  3 P 2.38-2.43

***

Entry 10:
Compound: CePuInRu
Source: the Alexandria database
Functional: PBE-GGA
Structure: optimized geometry

Properties
Total moment, μB/f.u.: 5.37
ΔH_f (0 K), eV/f.u.: -0.731
V, A^3/atom: 21.11
E, eV per formula unit: -33.01
Offset from the most stable computed form, meV/atom: 81

Lattice parameters (Å, degrees): 4.9246 4.9246 4.9246 60.00 60.00 60.00
Closest atoms and distances in Å follow each position.
Element x y z (fractional)
Ce  0.0000  0.0000  0.0000  4 Ru 3.02, 4 Pu 3.02
Pu  0.2500  0.2500  0.2500  4 In 3.02, 4 Ce 3.02
In  0.5000  0.5000  0.5000  4 Ru 3.02, 4 Pu 3.02
Ru  0.7500  0.7500  0.7500  4 Ce 3.02, 4 In 3.02

***

Entry 11:
Compound: Nd7Dy2Ho
Source: the Alexandria database
Functional: PBE-GGA
Structure: optimized geometry

Properties
Total moment, μB/f.u.: 0.00
ΔH_f (0 K), eV/f.u.: 3.783
V, A^3/atom: 36.07
E, eV per formula unit: -43.37
Offset from the most stable computed form, meV/atom: 0

Lattice parameters (Å, degrees): 10.3897 10.3897 3.5277 90.00 90.00 108.68
Closest atoms and distances in Å follow each position.
Element x y z (fractional)
Nd  0.0000  0.0000  0.0000  10 Nd 3.48-3.68
Nd  0.1173  0.3742  0.0000  1 Dy 3.15
Nd  0.1780  0.8220  0.5000  2 Dy 3.17, 4 Nd 3.48-3.53
Nd  0.3742  0.1173  0.0000  1 Dy 3.15
Nd  0.6258  0.8827  0.0000  1 Dy 3.15
Nd  0.8220  0.1780  0.5000  2 Dy 3.17, 4 Nd 3.48-3.53
Nd  0.8827  0.6258  0.0000  1 Dy 3.15
Dy  0.3337  0.6663  0.0000  4 Nd 3.15-3.17, 2 Ho 3.32
Dy  0.6663  0.3337  0.0000  4 Nd 3.15-3.17, 2 Ho 3.32
Ho  0.5000  0.5000  0.5000  4 Dy 3.32, 2 Ho 3.53

***

Entry 12:
Compound: LiY2Ta
Source: the Alexandria database
Functional: PBE-GGA
Structure: optimized geometry

Properties
Total moment, μB/f.u.: 0.00
ΔH_f (0 K), eV/f.u.: 1.591
V, A^3/atom: 23.63
E, eV per formula unit: -25.10
Offset from the most stable computed form, meV/atom: 147

Lattice parameters (Å, degrees): 3.3802 3.3802 8.2719 90.00 90.00 90.00
Closest atoms and distances in Å follow each position.
Element x y z (fractional)
Li  0.0000  0.0000  0.0000  4 Ta 2.79, 4 Y 3.06
Y  0.0000  0.0000  0.4250  4 Ta 3.16, 4 Y 3.38, 1 Li 3.52
Y  0.5000  0.5000  0.7683  4 Li 3.06, 1 Ta 3.36, 4 Y 3.38
Ta  0.5000  0.5000  0.1745  4 Li 2.79

***

Entry 13:
Compound: LaV3Cd
Source: the Alexandria database
Functional: PBE-GGA
Structure: optimized geometry

Properties
Total moment, μB/f.u.: 10.20
ΔH_f (0 K), eV/f.u.: 6.372
V, A^3/atom: 26.12
E, eV per formula unit: -26.83
Offset from the most stable computed form, meV/atom: 0

Lattice parameters (Å, degrees): 5.0736 5.0736 5.0736 90.00 90.00 90.00
Closest atoms and distances in Å follow each position.
Element x y z (fractional)
La  0.0000  0.0000  0.0000  12 V 3.59
V  0.0000  0.5000  0.5000  2 Cd 2.54
V  0.5000  0.0000  0.5000  2 Cd 2.54
V  0.5000  0.5000  0.0000  2 Cd 2.54
Cd  0.5000  0.5000  0.5000  6 V 2.54

***

Entry 14:
Compound: Tb2FeB
Source: the Alexandria database
Functional: PBE-GGA
Structure: optimized geometry

Properties
Total moment, μB/f.u.: 0.00
ΔH_f (0 K), eV/f.u.: -0.904
V, A^3/atom: 20.04
E, eV per formula unit: -25.30

Lattice parameters (Å, degrees): 7.3709 7.3709 7.3709 28.42 28.42 28.42
Closest atoms and distances in Å follow each position.
Element x y z (fractional)
Tb  0.0000  0.0000  0.0000  3 B 2.77, 3 Fe 2.77
Tb  0.1721  0.1721  0.1721  3 Fe 2.77, 3 B 2.77
Fe  0.7527  0.7527  0.7527  3 B 2.09
B  0.4193  0.4193  0.4193  3 Fe 2.09